No. 1
Fe2Co after structural relaxation. Source: the Alexandria database, functional PBE-GGA.

Structure (extended XYZ):
```
6
Lattice="2.0124 -4.2927 0.0000 2.0124 4.2927 0.0000 0.0000 0.0000 4.0060" Properties=species:S:1:pos:R:3 pbc="T T T"
Fe 0.0000 0.0000 0.0000
Fe 2.0124 2.8506 2.0030
Fe 2.0124 0.0000 2.0030
Fe 2.0124 -2.8506 2.0030
Co 2.0124 1.4234 0.0000
Co 2.0124 -1.4234 0.0000
```

Values from the calculation:
Uncorrected energy ... -24.13 eV per formula unit
N(E_F) ... 0.501 states/eV per atom
Size of the total moment ... 6.928 μB/f.u.
Space group ... Cmmm

No. 2
CdInSi2 after structural relaxation. Source: the Alexandria database, functional PBE-GGA.

Structure (extended XYZ):
```
4
Lattice="5.3755 -1.4909 0.0000 5.3755 1.4909 0.0000 -2.2651 0.0000 5.5445" Properties=species:S:1:pos:R:3 pbc="T T T"
Cd 0.0000 0.0000 0.0000
In 4.2430 0.0000 2.7723
Si 0.8026 0.0000 4.5761
Si 7.6834 0.0000 0.9684
```

Values from the calculation:
N(E_F) ... 0.299 states/eV per atom
Size of the total moment ... 0.000 μB/f.u.
Space group ... C2/m
ΔE_f (raw) ... 0.432 eV per atom

No. 3
SiOs2Br after structural relaxation. Source: the Alexandria database, functional PBE-GGA.

Structure (extended XYZ):
```
4
Lattice="2.8845 0.0000 0.0000 0.0000 2.8845 0.0000 0.0000 0.0000 8.7003" Properties=species:S:1:pos:R:3 pbc="T T T"
Si 0.0000 0.0000 0.0000
Os 0.0000 0.0000 5.2278
Os 1.4422 1.4422 6.8892
Br 1.4422 1.4422 3.3230
```

Values from the calculation:
N(E_F) ... 0.515 states/eV per atom
Size of the total moment ... 0.000 μB/f.u.
Space group ... P4mm
ΔE_f (raw) ... 0.594 eV per atom

No. 4
TaCr3As after structural relaxation. Source: the Alexandria database, functional PBE-GGA.

Structure (extended XYZ):
```
5
Lattice="4.3714 0.0000 0.0000 0.0000 4.3714 0.0000 0.0000 0.0000 4.3714" Properties=species:S:1:pos:R:3 pbc="T T T"
Ta 0.0000 0.0000 0.0000
Cr 0.0000 2.1857 2.1857
Cr 2.1857 0.0000 2.1857
Cr 2.1857 2.1857 0.0000
As 2.1857 2.1857 2.1857
```

Values from the calculation:
Uncorrected energy ... -40.76 eV per formula unit
N(E_F) ... 0.850 states/eV per atom
Size of the total moment ... 4.436 μB/f.u.
Space group ... Pm-3m

No. 5
PPdPt5 after structural relaxation. Source: the Alexandria database, functional PBE-GGA.

Structure (extended XYZ):
```
7
Lattice="3.9335 0.0000 0.0000 0.0000 3.9335 0.0000 0.0000 0.0000 7.0706" Properties=species:S:1:pos:R:3 pbc="T T T"
P 0.0000 0.0000 0.0000
Pd 0.0000 0.0000 3.5353
Pt 0.0000 1.9668 1.4373
Pt 0.0000 1.9668 5.6332
Pt 1.9668 0.0000 1.4373
Pt 1.9668 0.0000 5.6332
Pt 1.9668 1.9668 3.5353
```

Values from the calculation:
Uncorrected energy ... -42.20 eV per formula unit
N(E_F) ... 1.206 states/eV per atom
Size of the total moment ... 0.000 μB/f.u.
Space group ... P4/mmm

No. 6
TcTeO3 after structural relaxation. Source: the Alexandria database, functional PBE-GGA.

Structure (extended XYZ):
```
5
Lattice="4.1538 0.0000 0.0000 0.0000 4.1538 0.0000 0.0000 0.0000 4.1538" Properties=species:S:1:pos:R:3 pbc="T T T"
Tc 0.0000 0.0000 0.0000
Te 2.0769 2.0769 2.0769
O 0.0000 2.0769 2.0769
O 2.0769 0.0000 2.0769
O 2.0769 2.0769 0.0000
```

Values from the calculation:
N(E_F) ... 0.346 states/eV per atom
Size of the total moment ... 4.771 μB/f.u.
Space group ... Pm-3m
ΔE_f (raw) ... 0.023 eV per atom

The highest N(E_F) belongs to which entry?
PPdPt5